# ScFe2Ag

A relaxed ScFe2Ag crystal (PBE-GGA, OQMD via LeMat-Bulk).

Calculated values
Raw total energy = -6.297 eV per atom
Formation enthalpy at 0 K = 0.146 eV per atom
Spin magnetization = 17.58 μB/cell

```
data_ScFe2Ag
_chemical_formula_sum 'Sc4 Fe8 Ag4'
_symmetry_space_group_name_H-M 'F -4 3 m'
_symmetry_Int_Tables_number 216
_symmetry_space_group_name_Hall 'F -4 2 3'
_cell_length_a 6.266
_cell_length_b 6.266
_cell_length_c 6.266
_cell_angle_alpha 90.00
_cell_angle_beta 90.00
_cell_angle_gamma 90.00
loop_
_atom_site_label
_atom_site_fract_x
_atom_site_fract_y
_atom_site_fract_z
Sc1 0.000 0.000 0.000
Fe1 0.000 0.000 0.500
Fe2 0.250 0.250 0.750
Ag1 0.250 0.250 0.250
```